[1]
A plane-wave DFT calculation with PBE was carried out for an optimized crystal structure of Y2CuSn2Au.

Output
Its calculated total energy is -5.38 eV/atom. For the volume, the calculation gives 580.1 Å³ per cell.

Cell and atoms, written as extended XYZ:
```
24
Lattice="8.1160 0.0000 0.0000 0.0000 4.6763 0.0000 -2.6600 0.0000 15.2850" Properties=species:S:1:pos:R:3 pbc="T T T"
Au 1.3620 0.0000 3.8304
Au 5.4275 2.3382 3.8395
Au 4.0906 0.0000 11.4446
Au 1.3960 0.0000 15.2529
Cu 2.7166 2.3382 7.6885
Cu -1.3237 0.0000 7.6911
Cu 0.0295 2.3382 11.4332
Cu -2.6465 2.3382 15.2563
Sn 0.0152 2.3382 2.8036
Sn 4.0659 0.0000 2.8703
Sn 5.4354 2.3382 6.7851
Sn 1.3668 0.0000 6.7852
Sn 2.6700 2.3382 10.4540
Sn -1.2700 0.0000 10.4689
Sn -0.0142 2.3382 14.2590
Sn 4.1614 0.0000 14.3368
Y 1.3170 0.0000 0.9119
Y 5.4642 2.3382 0.9265
Y 6.7840 0.0000 4.8699
Y 2.7161 2.3382 4.8707
Y 4.0828 0.0000 8.5593
Y 0.0177 2.3382 8.6028
Y 1.3393 0.0000 12.3536
Y 5.4926 2.3382 12.4114
```


[2]
A plane-wave DFT calculation with PBE was carried out for an optimized crystal structure of NbCuTeW.

Output
Its calculated total energy is -6.93 eV/atom. For the volume, the calculation gives 68.9 Å³ per cell.

Cell and atoms, written as extended XYZ:
```
4
Lattice="-0.8944 -0.1326 4.5113 0.2545 3.8478 2.5098 -3.8385 1.9336 1.6421" Properties=species:S:1:pos:R:3 pbc="T T T"
Cu -3.3588 4.2367 6.4975
Nb 0.0000 0.0000 0.0000
Te -2.2392 2.8244 4.3316
W -1.1196 1.4122 2.1658
```


[3]
A plane-wave DFT calculation with PBE was carried out for an optimized crystal structure of Hf8Sn2C3N3.

Output
Its calculated total energy is -9.90 eV/atom. For the volume, the calculation gives 232.2 Å³ per cell.

Cell and atoms, written as extended XYZ:
```
16
Lattice="3.2694 0.0000 0.0000 -1.6347 2.8314 0.0000 0.0000 0.0000 25.0813" Properties=species:S:1:pos:R:3 pbc="T T T"
C 0.0000 0.0000 0.0000
C 1.6347 0.9438 2.7267
C 0.0000 1.8876 22.3546
Hf 0.0000 1.8876 1.3021
Hf 0.0000 0.0000 3.9069
Hf 0.0000 0.0000 8.7048
Hf 0.0000 1.8876 11.2056
Hf 1.6347 0.9438 13.8757
Hf 0.0000 0.0000 16.3765
Hf 0.0000 0.0000 21.1744
Hf 1.6347 0.9438 23.7792
N 1.6347 0.9438 9.9789
N 0.0000 0.0000 12.5406
N 0.0000 1.8876 15.1024
Sn 0.0000 1.8876 6.3099
Sn 1.6347 0.9438 18.7714
```


[4]
A plane-wave DFT calculation with PBE was carried out for an optimized crystal structure of LaTeAuO.

Output
Its calculated total energy is -5.94 eV/atom. For the volume, the calculation gives 368.2 Å³ per cell.

Cell and atoms, written as extended XYZ:
```
16
Lattice="0.0000 -2.9716 -2.9912 0.0000 -2.9716 2.9912 -20.7111 0.0000 0.0000" Properties=species:S:1:pos:R:3 pbc="T T T"
Au -5.1746 -2.9571 -1.3067
Au -5.1810 -2.9571 1.6845
Au -15.5301 -2.9861 1.6845
Au -15.5366 -2.9861 -1.3067
La -1.1757 -1.4845 -1.2861
La -9.1799 -4.4562 -1.2861
La -11.5313 -1.4871 -1.2861
La -19.5354 -4.4587 -1.2861
O 0.0000 -2.9716 -2.7819
O 0.0000 -2.9716 0.2092
O -10.3556 -2.9716 -2.7820
O -10.3556 -2.9716 0.2094
Te -2.9577 -4.4493 -1.2877
Te -7.3979 -1.4777 -1.2877
Te -13.3133 -4.4656 -1.2877
Te -17.7534 -1.4939 -1.2877
```


[5]
A plane-wave DFT calculation with PBE was carried out for an optimized crystal structure of In2CuPd2.

Output
Its calculated total energy is -3.91 eV/atom. For the volume, the calculation gives 99.2 Å³ per cell.

Cell and atoms, written as extended XYZ:
```
5
Lattice="-1.9495 1.9495 6.5280 1.9495 -1.9495 6.5280 1.9495 1.9495 -6.5280" Properties=species:S:1:pos:R:3 pbc="T T T"
Cu 0.0000 0.0000 0.0000
In 0.0000 0.0000 5.1423
In 0.0000 0.0000 7.9137
Pd 0.0000 1.9495 3.2640
Pd 1.9495 0.0000 3.2640
```


[6]
A plane-wave DFT calculation with PBE was carried out for an optimized crystal structure of CuBi5Pd3.

Output
Its calculated total energy is -4.37 eV/atom. For the volume, the calculation gives 234.5 Å³ per cell.

Cell and atoms, written as extended XYZ:
```
9
Lattice="-5.4792 0.2275 -1.6882 1.3328 -2.2005 5.1289 -0.7351 7.4570 3.3903" Properties=species:S:1:pos:R:3 pbc="T T T"
Bi -3.3616 0.9705 1.2899
Bi -1.0909 0.1612 3.5623
Bi -0.3675 3.7285 1.6952
Bi -3.7906 5.3227 3.2687
Bi -1.5199 4.5134 5.5410
Cu 0.0000 0.0000 0.0000
Pd -3.1071 3.8422 0.8510
Pd 0.2989 2.6283 4.2596
Pd -2.4408 2.7420 3.4155
```


[7]
A plane-wave DFT calculation with PBE was carried out for an optimized crystal structure of HoFe2SiB.

Output
Its calculated total energy is -7.16 eV/atom. For the volume, the calculation gives 65.5 Å³ per cell.

Cell and atoms, written as extended XYZ:
```
5
Lattice="3.5407 -1.3101 3.8608 -0.8181 -4.2177 3.2713 -0.0884 1.1999 -5.2642" Properties=species:S:1:pos:R:3 pbc="T T T"
B 1.7314 -3.5154 4.5356
Fe 2.3769 -1.3763 1.0030
Fe 0.1975 -2.8301 0.7082
Ho 0.0270 -0.0548 0.0707
Si 1.0240 -2.0791 2.6825
```


[8]
A plane-wave DFT calculation with PBE was carried out for an optimized crystal structure of PtO2F6.

Output
Its calculated total energy is -3.77 eV/atom. For the volume, the calculation gives 397.4 Å³ per cell.

Cell and atoms, written as extended XYZ:
```
36
Lattice="-6.4219 0.9385 4.7148 6.6708 1.1000 4.3176 -0.2469 5.3696 -5.9547" Properties=species:S:1:pos:R:3 pbc="T T T"
F 1.9082 1.2644 3.8627
F 1.1406 0.6900 1.3755
F -1.4407 0.8903 0.8948
F 0.4941 2.4384 5.7484
F -0.6289 2.2042 3.2135
F -3.5397 2.2899 3.7813
F 0.3010 1.6477 -0.9292
F 4.0344 2.6158 2.9921
F -3.6222 2.4055 1.1196
F -1.7140 3.7361 5.0098
F 2.1533 3.2155 0.7776
F 1.5239 3.7732 3.3070
F -1.5219 3.6348 -0.2293
F -2.1513 4.1925 2.3001
F 1.7159 3.6719 -1.9320
F 3.6241 5.0026 1.9582
F -4.0325 4.7923 0.0856
F -0.2990 5.7603 4.0070
F 3.5417 5.1181 -0.7036
F 0.6309 5.2038 -0.1357
F -0.4921 4.9696 -2.6707
F 1.4427 6.5177 2.1829
F -1.1386 6.7181 1.7022
F -1.9062 6.1437 -0.7849
O -2.7267 0.5491 2.6709
O 2.9756 1.4894 6.3616
O 3.3175 0.9398 1.7265
O 0.0008 3.1662 1.3154
O -6.0792 3.5551 1.3952
O -0.5897 2.7529 -2.6351
O 0.0011 4.2418 1.7623
O 3.1064 5.5298 -3.3636
Pt 0.0000 0.0000 0.0000
Pt 0.1244 1.0192 4.5162
Pt -3.3344 3.1540 -0.6199
Pt 3.2120 3.2348 -0.8185
```


[9]
A plane-wave DFT calculation with PBE was carried out for an optimized crystal structure of Cs2HgIrBr6.

Output
Its calculated total energy is -2.94 eV/atom. For the volume, the calculation gives 338.2 Å³ per cell.

Cell and atoms, written as extended XYZ:
```
10
Lattice="0.0000 5.5297 5.5297 5.5297 0.0000 5.5297 5.5297 5.5297 0.0000" Properties=species:S:1:pos:R:3 pbc="T T T"
Br 5.5297 3.0001 5.5297
Br 3.0001 5.5297 5.5297
Br 5.5297 5.5297 8.0592
Br 5.5297 5.5297 3.0001
Br 5.5297 8.0592 5.5297
Br 8.0592 5.5297 5.5297
Cs 2.7648 2.7648 2.7648
Cs 8.2945 8.2945 8.2945
Hg 0.0000 0.0000 0.0000
Ir 5.5297 5.5297 5.5297
```


[10]
A plane-wave DFT calculation with PBE was carried out for an optimized crystal structure of CuReSiAu.

Output
Its calculated total energy is -5.84 eV/atom. For the volume, the calculation gives 58.2 Å³ per cell.

Cell and atoms, written as extended XYZ:
```
4
Lattice="-1.5148 -4.0617 -0.3622 -2.8899 -0.9750 -3.1017 1.1857 -2.4703 -3.3786" Properties=species:S:1:pos:R:3 pbc="T T T"
Au -1.6095 -3.7536 -3.4213
Cu -2.4143 -5.6303 -5.1319
Re -0.8048 -1.8768 -1.7106
Si 0.0000 0.0000 0.0000
```


[11]
A plane-wave DFT calculation with PBE was carried out for an optimized crystal structure of Gd2B6Os.

Output
Its calculated total energy is -7.34 eV/atom. For the volume, the calculation gives 393.7 Å³ per cell.

Cell and atoms, written as extended XYZ:
```
36
Lattice="9.2218 0.0000 0.0000 0.0000 11.5844 0.0000 0.0000 0.0000 3.6856" Properties=species:S:1:pos:R:3 pbc="T T T"
B 5.6494 0.3622 1.8428
B 0.4963 0.7825 1.8428
B 2.2748 0.9279 1.8428
B 5.8338 2.1574 1.8428
B 9.0811 2.4677 1.8428
B 2.6746 2.6921 1.8428
B 7.2855 3.1001 1.8428
B 4.4702 3.3245 1.8428
B 1.2229 3.6348 1.8428
B 6.8857 4.8643 1.8428
B 5.1072 5.0097 1.8428
B 1.0386 5.4300 1.8428
B 8.1832 6.1543 1.8428
B 4.1146 6.5747 1.8428
B 2.3361 6.7201 1.8428
B 7.9989 7.9496 1.8428
B 4.7515 8.2599 1.8428
B 1.9363 8.4843 1.8428
B 6.5472 8.8923 1.8428
B 0.1406 9.1166 1.8428
B 3.3880 9.4270 1.8428
B 6.9469 10.6564 1.8428
B 8.7254 10.8019 1.8428
B 3.5723 11.2222 1.8428
Gd 7.5918 1.0032 0.0000
Gd 4.0952 1.4681 0.0000
Gd 8.7061 4.3241 0.0000
Gd 2.9810 4.7890 0.0000
Gd 6.2408 6.7954 0.0000
Gd 0.5157 7.2603 0.0000
Gd 5.1266 10.1163 0.0000
Gd 1.6299 10.5812 0.0000
Os 1.2676 2.0646 0.0000
Os 5.8785 3.7276 0.0000
Os 3.3432 7.8568 0.0000
Os 7.9541 9.5197 0.0000
```


[12]
A plane-wave DFT calculation with PBE was carried out for an optimized crystal structure of BeGaIr2.

Output
Its calculated total energy is -6.17 eV/atom. For the volume, the calculation gives 117.4 Å³ per cell.

Cell and atoms, written as extended XYZ:
```
8
Lattice="2.1407 -3.7077 0.0000 2.1407 3.7077 0.0000 0.0000 0.0000 7.3931" Properties=species:S:1:pos:R:3 pbc="T T T"
Be 2.1407 1.2359 1.8483
Be 2.1407 -1.2359 5.5448
Ga 0.0000 0.0000 0.0000
Ga 0.0000 0.0000 3.6965
Ir 2.1407 -1.2359 0.5883
Ir 2.1407 -1.2359 3.1082
Ir 2.1407 1.2359 4.2848
Ir 2.1407 1.2359 6.8048
```